Entry from Alexandria via LeMat-Bulk: a relaxed SmPaFe2O6 crystal (GGA+U).

a b c (Å): 5.6556 5.6428 5.9875
angles (deg): 61.56 60.87 59.74
Last column: nearest neighbours and their distance in Å.
Sites, in units of the cell vectors:
O: 0.9011 0.5972 0.2580  1 Fe 2.04, 1 Pa 2.19
O: 0.7164 0.1337 0.7637  2 Fe 2.15-2.36, 1 Pa 2.18, 1 Sm 2.30
O: 0.6276 0.2232 0.2318  2 Fe 2.16-2.17, 1 Pa 2.22, 1 Sm 2.41
O: 0.2297 0.9125 0.2441  2 Fe 2.15-2.29, 1 Pa 2.18, 1 Sm 2.40
O: 0.3763 0.7261 0.7737  1 Fe 2.05, 1 Pa 2.21
O: 0.1515 0.3973 0.7400  2 Fe 2.16-2.20, 1 Pa 2.24, 1 Sm 2.31
Fe: 0.0186 0.0273 0.9448  5 O 2.05-2.29
Fe: 0.5244 0.5194 0.4250  4 O 2.04-2.20
Pa: 0.3128 0.3147 0.0549  6 O 2.18-2.24
Sm: 0.8032 0.8101 0.5792  6 O 2.30-2.44

* uncorrected energy: -8.18 eV per atom
* space-group type: P1, No. 1
* crystal system: triclinic